Entry 1:
First-principles (SCAN) data for LaCuRh at its PBEsol-relaxed geometry, as listed in the Alexandria database.

Results
crystal system = tetragonal
E_form = -0.243 eV per atom
total DFT energy (no corrections) = -185.6 eV per cell
ρ = 9.016 g cm⁻³

a = 3.4495 Å, b = 3.4495 Å, c = 9.4523 Å
α = 90.00°, β = 90.00°, γ = 90.00°
Last column: nearest neighbours and their distance in Å.
Space group I4mm (No. 107)
One atom of each set of equivalent atoms:
La 0.0000 0.0000 0.0000  5 Cu 2.83-3.09, 5 Rh 2.84-3.08
Cu 0.0000 0.0000 0.2999  4 Rh 2.62, 1 La 2.83
Rh 0.0000 0.0000 0.6991  4 Cu 2.62, 1 La 2.84

=====

Entry 2:
First-principles (SCAN) data for FeSn4H24C8Se10N2 at its PBEsol-relaxed geometry, as listed in the Alexandria database.

Results
crystal system = tetragonal
total DFT energy (no corrections) = -1112.6 eV per cell
ρ = 3.270 g cm⁻³

a = 9.8488 Å, b = 9.8488 Å, c = 15.3748 Å
α = 90.00°, β = 90.00°, γ = 90.00°
Last column: nearest neighbours and their distance in Å.
Space group I-4 (No. 82)
One atom of each set of equivalent atoms:
Fe 0.0000 0.0000 0.0000  4 Se 2.36
Sn 0.0766 0.3088 0.8438  4 Se 2.52-2.57
H 0.0138 0.1508 0.4035  1 C 1.10
H 0.0498 0.7073 0.2639  1 C 1.10
H 0.0542 0.1417 0.5979  1 C 1.10
H 0.0585 0.3634 0.3483  1 C 1.10
H 0.0953 0.3788 0.1546  1 C 1.10
H 0.1150 0.8192 0.4857  1 C 1.10
C 0.0305 0.6191 0.3062  3 H 1.10
C 0.0658 0.8957 0.4439  3 H 1.10
Se 0.0000 0.5000 0.5535  2 Sn 2.57
Se 0.1138 0.8219 0.0724  1 Fe 2.36, 1 Sn 2.52
Se 0.1177 0.7800 0.7498  2 Sn 2.55-2.57
N 0.0000 0.0000 0.5000  4 C 1.49
N 0.0000 0.5000 0.2500  4 C 1.49

=====

Entry 3:
First-principles (SCAN) data for HfTlAg3 at its PBEsol-relaxed geometry, as listed in the Alexandria database.

Results
crystal system = cubic
E_form = 1.202 eV per atom
total DFT energy (no corrections) = -223.1 eV per cell
ρ = 9.487 g cm⁻³

a = 4.9820 Å, b = 4.9820 Å, c = 4.9820 Å
α = 90.00°, β = 90.00°, γ = 90.00°
Last column: nearest neighbours and their distance in Å.
Space group Pm-3m (No. 221)
One atom of each set of equivalent atoms:
Hf 0.0000 0.0000 0.0000  12 Ag 3.52
Tl 0.5000 0.5000 0.5000  6 Ag 2.49
Ag 0.0000 0.5000 0.5000  2 Tl 2.49

=====

Entry 4:
First-principles (SCAN) data for HoCO4 at its PBEsol-relaxed geometry, as listed in the Alexandria database.

Results
crystal system = orthorhombic
total DFT energy (no corrections) = -390.1 eV per cell
E_form (uncorrected) = -2253 meV/atom
ρ = 5.472 g cm⁻³

a = 4.7236 Å, b = 7.0927 Å, c = 8.7293 Å
α = 90.00°, β = 90.00°, γ = 90.00°
Last column: nearest neighbours and their distance in Å.
Space group P2_12_12_1 (No. 19)
One atom of each set of equivalent atoms:
Ho 0.0348 0.1400 0.1678  5 O 2.17-2.42
C 0.0157 0.0367 0.8383  3 O 1.27-1.31
O 0.0283 0.8320 0.1421  2 Ho 2.17-2.20, 1 O 2.30
O 0.0455 0.4276 0.7726  1 C 1.27
O 0.1685 0.6186 0.5751  1 C 1.29
O 0.2165 0.9349 0.3697  1 C 1.31

=====

Entry 5:
First-principles (SCAN) data for SrLa at its PBEsol-relaxed geometry, as listed in the Alexandria database.

Results
crystal system = trigonal
E_form = 0.091 eV per atom
total DFT energy (no corrections) = -130.4 eV per cell
ρ = 4.456 g cm⁻³

a = 3.8993 Å, b = 3.8993 Å, c = 12.8231 Å
α = 90.00°, β = 90.00°, γ = 120.00°
Last column: nearest neighbours and their distance in Å.
Space group P-3m1 (No. 164)
One atom of each set of equivalent atoms:
Sr 0.3333 0.6667 0.1370  9 Sr 3.90-4.17, 3 La 3.97
La 0.3333 0.6667 0.6076  9 La 3.56-3.90, 3 Sr 3.97

=====

Entry 6:
First-principles (SCAN) data for MgIn2 at its PBEsol-relaxed geometry, as listed in the Alexandria database.

Results
crystal system = orthorhombic
E_form = -0.073 eV per atom
total DFT energy (no corrections) = -287.9 eV per cell
ρ = 5.896 g cm⁻³

a = 3.4287 Å, b = 15.9326 Å, c = 5.2372 Å
α = 90.00°, β = 90.00°, γ = 90.00°
Last column: nearest neighbours and their distance in Å.
Space group Cmcm (No. 63)
One atom of each set of equivalent atoms:
Mg 0.0000 0.1068 0.2500  10 In 3.13-3.24, 2 Mg 3.43
In 0.0000 0.2264 0.7500  4 Mg 3.16-3.24, 8 In 3.19-3.43
In 0.0000 0.4422 0.2500  6 Mg 3.13-3.23, 6 In 3.19-3.43